5
Lattice="5.3627 0.0000 0.0000 0.0000 5.2505 0.0000 0.0000 0.0000 5.3627" Properties=species:S:1:pos:R:3 comment="Ti2PdPbCl, optimized geometry, DFT GGA-PBE" raw_formation_energy_ev_per_atom=1.19 volume_a3_per_cell=151.0 n_ef_per_ev_cell=11.8 energy_ev_per_cell=-20.57 pbc="T T T"
Pb 0.0000 0.0000 0.0000
Cl 0.0000 2.6253 0.0000
Pd 2.6813 2.6253 2.6813
Ti 0.0000 0.0000 2.6813
Ti 2.6813 0.0000 0.0000